Model 1:
# Co3OsN

Crystalline Co3OsN at its relaxed geometry (PBE-GGA, Alexandria).

a b c (Å): 3.7790 3.7790 3.7790
angles (deg): 90.00 90.00 90.00
Last column: nearest neighbours and their distance in Å.
Space group Pm-3m (No. 221)
Asymmetric unit:
Co 0.0000 0.0000 0.5000  2 N 1.89
Os 0.5000 0.5000 0.5000  12 Co 2.67
N 0.0000 0.0000 0.0000  6 Co 1.89

Properties
- Crystal system: cubic
- Magnetic moment: 5.3 μB/f.u.

Model 2:
# Co3OsN

Crystalline Co3OsN at its relaxed geometry (PBE-GGA, Alexandria).

a b c (Å): 4.4889 4.4889 4.4889
angles (deg): 90.00 90.00 90.00
Last column: nearest neighbours and their distance in Å.
Space group Pm-3m (No. 221)
Asymmetric unit:
Co 0.0000 0.0000 0.5000  2 Os 2.24
Os 0.0000 0.0000 0.0000  6 Co 2.24
N 0.5000 0.5000 0.5000  12 Co 3.17

Properties
- Crystal system: cubic
- Magnetic moment: 5.6 μB/f.u.

The structure shown above that is least stable: model 2.